# PmTmWO6 PBE+U relaxed
# Space group: No. 163
# Total DFT energy (no corrections) (eV/atom): -8.052
# ρ (g/cm3): 7.6
# Calculated volume (Å³/atom): 14.4
# Total magnetization (Bohr magnetons per cell): 0.00
data_PmTmWO6
_symmetry_space_group_name_H-M 'P 1'
_symmetry_Int_Tables_number 1
_symmetry_space_group_name_Hall 'P 1'
_cell_length_a 5.517
_cell_length_b 5.517
_cell_length_c 9.837
_cell_angle_alpha 90.00
_cell_angle_beta 90.00
_cell_angle_gamma 120.00
loop_
_atom_site_label
_atom_site_type_symbol
_atom_site_fract_x
_atom_site_fract_y
_atom_site_fract_z
Pm1 Pm 0.000 0.000 0.000
Pm2 Pm 0.000 0.000 0.500
Tm1 Tm 0.333 0.667 0.250
Tm2 Tm 0.667 0.333 0.750
W1 W 0.333 0.667 0.750
W2 W 0.667 0.333 0.250
O1 O 0.036 0.374 0.639
O2 O 0.036 0.662 0.861
O3 O 0.338 0.374 0.861
O4 O 0.338 0.964 0.639
O5 O 0.374 0.036 0.139
O6 O 0.374 0.338 0.361
O7 O 0.626 0.662 0.639
O8 O 0.626 0.964 0.861
O9 O 0.662 0.036 0.361
O10 O 0.662 0.626 0.139
O11 O 0.964 0.338 0.139
O12 O 0.964 0.626 0.361

---

# PmTm2WO8 PBE+U relaxed
# Space group: No. 65
# Total DFT energy (no corrections) (eV/atom): -7.910
# ρ (g/cm3): 7.7
# Calculated volume (Å³/atom): 14.4
# Total magnetization (Bohr magnetons per cell): 0.81
data_PmTm2WO8
_symmetry_space_group_name_H-M 'P 1'
_symmetry_Int_Tables_number 1
_symmetry_space_group_name_Hall 'P 1'
_cell_length_a 4.999
_cell_length_b 4.999
_cell_length_c 6.901
_cell_angle_alpha 90.00
_cell_angle_beta 90.00
_cell_angle_gamma 90.58
loop_
_atom_site_label
_atom_site_type_symbol
_atom_site_fract_x
_atom_site_fract_y
_atom_site_fract_z
Pm1 Pm 0.000 0.000 0.000
Tm1 Tm 0.500 0.500 0.259
Tm2 Tm 0.500 0.500 0.741
W1 W 0.000 0.000 0.500
O1 O 0.187 0.813 0.292
O2 O 0.187 0.813 0.708
O3 O 0.280 0.280 0.500
O4 O 0.319 0.319 0.000
O5 O 0.681 0.681 0.000
O6 O 0.720 0.720 0.500
O7 O 0.813 0.187 0.292
O8 O 0.813 0.187 0.708